1.
VASP calculation (PBE) on an optimized crystal structure of PmPr3Y7.

Calculated values
* crystal system: triclinic
* excess energy over the best structure of this formula in the dataset: 0.0 kJ per mole of atoms
* ΔH_f (0 K): 3.2 kcal/mol of atoms

Structure (extended XYZ):
```
11
Lattice="8.449 -0.786 -2.914 -2.246 9.969 -0.583 -1.898 -0.121 5.262" Properties=species:S:1:pos:R:3 pbc="T T T"
Pr -1.123 4.985 -0.292
Y 3.276 -0.454 1.174
Pr -1.775 9.697 2.559
Y 0.203 1.620 0.111
Y 4.103 7.443 1.654
Pm 2.153 4.531 0.883
Y -0.204 6.721 3.056
Pr 6.081 -0.634 -0.794
Y 4.872 5.659 -1.084
Y 4.510 2.341 -1.291
Y -0.566 3.404 2.849
```

***

2.
VASP calculation (PBE) on an optimized crystal structure of Pm3Pr12Y.

Calculated values
* crystal system: tetragonal
* ΔH_f (0 K): 0.2 kcal/mol of atoms

Structure (extended XYZ):
```
16
Lattice="-1.426 -4.943 -0.928 3.415 -0.243 -3.950 14.738 -6.724 13.158" Properties=species:S:1:pos:R:3 pbc="T T T"
Pr 4.807 -4.990 4.464
Pr 8.505 -6.677 7.765
Pr 10.925 -4.327 6.254
Pm 7.369 -3.362 6.579
Pr 0.995 -2.593 -2.439
Pr 7.228 -2.640 2.954
Pm 11.069 -5.050 9.882
Pr 14.618 -6.012 9.551
Y 0.000 0.000 0.000
Pm 3.669 -1.674 3.276
Pr 1.115 -3.305 1.168
Pr 12.197 -8.361 11.062
Pr 4.663 -4.267 0.836
Pr 8.364 -5.955 4.140
Pr 12.065 -7.644 7.444
Pr 3.536 -0.956 -0.343
```

***

Record order is preserved below.
DOS(E_F): 17.3; 25.3 states/eV/f.u.